Pr2YGa after structural relaxation, computed with PBE.

Unit cell a=3.659 b=3.659 c=9.091 alpha=90.00 beta=90.00 gamma=90.00
Space group P4/mmm (No. 123)
Inequivalent atoms, fractional coordinates:
1 Pr 0.000 0.000 0.210
2 Y 0.500 0.500 0.500
3 Ga 0.500 0.500 0.000

Computed properties:
mass density	6.0	Mg/m³
size of the total moment	0.0	μB/cell
energy above the most stable polymorph in this dataset	14	kJ/mol of formula units
formation enthalpy at 0 K	-87.1	kJ/mol of formula units

---

ScGa3Pd after structural relaxation, computed with PBE.

Unit cell a=8.405 b=5.506 c=7.405 alpha=90.00 beta=96.29 gamma=90.00
Space group P2_1/c (No. 14)
Inequivalent atoms, fractional coordinates:
1 Sc 0.119 0.125 0.191
2 Ga 0.118 0.628 0.057
3 Ga 0.268 0.597 0.367
4 Ga 0.373 0.153 0.499
5 Pd 0.447 0.563 0.697

Computed properties:
mass density	7.0	Mg/m³
size of the total moment	0.0	μB/cell
energy above the most stable polymorph in this dataset	0	kJ/mol of formula units
formation enthalpy at 0 K	-265.3	kJ/mol of formula units

---

MnBeCoCu after structural relaxation, computed with PBE.

Unit cell a=5.598 b=5.598 c=5.598 alpha=90.00 beta=90.00 gamma=90.00
Space group F-43m (No. 216)
Inequivalent atoms, fractional coordinates:
1 Mn 0.000 0.000 0.000
2 Be 0.000 0.000 0.500
3 Co 0.250 0.250 0.750
4 Cu 0.250 0.250 0.250

Computed properties:
mass density	7.1	Mg/m³
size of the total moment	16.9	μB/cell
formation enthalpy at 0 K	8.1	kJ/mol of formula units

---

Cd2C after structural relaxation, computed with PBE.

Unit cell a=8.1365 b=8.1365 c=6.5383 alpha=90.00 beta=90.00 gamma=120.00
Space group P6_3/mmc (No. 194)
Inequivalent atoms, fractional coordinates:
1 Cd 0.0000 0.0000 0.0000
2 Cd 0.1659 0.3318 0.2500
3 C 0.3333 0.6667 0.1516

Computed properties:
mass density	4.2	Mg/m³
size of the total moment	0.0	μB/cell
energy above the most stable polymorph in this dataset	39	kJ/mol of formula units
formation enthalpy at 0 K	254.4	kJ/mol of formula units